Below is FeReNi2 after structural relaxation, with properties calculated at the GGA-PBEsol level.

Total energy = -8.6464 eV per atom
ΔE to the lowest computed polymorph = 0 meV/atom
Density of states at the Fermi level = 3.5 states/eV/cell
Total magnetic moment = 2.57 μB/cell
Crystal system = orthorhombic

a = 2.5306 Å, b = 4.1006 Å, c = 4.4597 Å
α = 90.00°, β = 90.00°, γ = 90.00°
Space group Pmm2 (No. 25)
Inequivalent atoms, fractional coordinates:
Fe 0.0000 0.0000 0.0000
Re 0.0000 0.5000 0.3217
Ni 0.5000 0.0000 0.5108
Ni 0.5000 0.5000 0.8204